[1]
DFT (GGA-PBE) results for an optimized crystal structure of Tm3InS.

a = 3.844 Å, b = 8.908 Å, c = 14.586 Å
α = 90.00°, β = 90.00°, γ = 90.00°
Sites, in units of the cell vectors:
S  0.750  0.844  0.055
S  0.250  0.656  0.555
S  0.250  0.156  0.945
S  0.750  0.344  0.445
Tm  0.750  0.966  0.887
Tm  0.250  0.785  0.718
Tm  0.250  0.034  0.113
Tm  0.250  0.666  0.991
Tm  0.250  0.166  0.509
Tm  0.750  0.466  0.613
Tm  0.250  0.285  0.782
Tm  0.750  0.715  0.218
Tm  0.250  0.534  0.387
Tm  0.750  0.834  0.491
Tm  0.750  0.334  0.009
Tm  0.750  0.215  0.282
In  0.250  0.938  0.329
In  0.750  0.562  0.829
In  0.750  0.062  0.671
In  0.250  0.438  0.171

Output
The raw total energy comes out at -5.046 eV/atom. Its space group is Pnma, No. 62. The value obtained for the excess energy over the best structure of this formula in the dataset is 0 meV per atom. The theoretical density is 8.693 Mg/m³. The calculation puts the total magnetic moment at 0.34 μB per formula unit. As for the density of states at the Fermi level: 4.084 states/eV/f.u. For the uncorrected formation energy, the calculation gives -4.95 eV/f.u.


[2]
DFT (GGA-PBE) results for an optimized crystal structure of TmIn2S4.

a = 4.108 Å, b = 6.614 Å, c = 7.219 Å
α = 103.44°, β = 90.00°, γ = 108.10°
Sites, in units of the cell vectors:
In  0.370  0.739  0.435
In  0.630  0.261  0.565
S  0.146  0.292  0.354
S  0.387  0.773  0.100
S  0.854  0.708  0.646
S  0.613  0.227  0.900
Tm  0.000  0.000  0.000

Output
The raw total energy comes out at -4.726 eV/atom. Its space group is C2/m, No. 12. The value obtained for the excess energy over the best structure of this formula in the dataset is 68 meV per atom. The theoretical density is 4.840 Mg/m³. The calculation puts the total magnetic moment at 0.00 μB per formula unit. As for the density of states at the Fermi level: 3.776 states/eV/f.u. For the uncorrected formation energy, the calculation gives -6.62 eV/f.u.


[3]
DFT (GGA-PBE) results for an optimized crystal structure of TmIn3S6.

a = 3.865 Å, b = 11.261 Å, c = 10.844 Å
α = 111.53°, β = 90.00°, γ = 90.00°
Sites, in units of the cell vectors:
Tm  0.750  0.049  0.699
Tm  0.250  0.951  0.301
S  0.250  0.903  0.538
S  0.750  0.097  0.462
S  0.250  0.603  0.937
S  0.750  0.929  0.093
S  0.750  0.803  0.740
S  0.250  0.548  0.395
S  0.750  0.452  0.605
S  0.250  0.250  0.737
S  0.250  0.071  0.907
S  0.750  0.397  0.063
S  0.250  0.197  0.260
S  0.750  0.750  0.263
In  0.750  0.705  0.482
In  0.250  0.295  0.518
In  0.250  0.832  0.906
In  0.250  0.564  0.166
In  0.750  0.168  0.094
In  0.750  0.436  0.834

Output
The raw total energy comes out at -4.629 eV/atom. Its space group is P2_1/m, No. 11. The theoretical density is 5.339 Mg/m³. The calculation puts the total magnetic moment at 0.00 μB per formula unit. For the uncorrected formation energy, the calculation gives -8.84 eV/f.u.


[4]
DFT (GGA-PBE) results for an optimized crystal structure of Tm2InS5.

a = 5.338 Å, b = 7.207 Å, c = 12.128 Å
α = 90.00°, β = 90.00°, γ = 111.74°
Sites, in units of the cell vectors:
Tm  0.163  0.325  0.932
Tm  0.837  0.675  0.068
Tm  0.837  0.675  0.432
Tm  0.163  0.325  0.568
S  0.967  0.935  0.898
S  0.033  0.065  0.102
S  0.693  0.386  0.916
S  0.307  0.614  0.084
S  0.278  0.556  0.750
S  0.693  0.386  0.584
S  0.967  0.935  0.602
S  0.722  0.444  0.250
S  0.307  0.614  0.416
S  0.033  0.065  0.398
In  0.820  0.640  0.750
In  0.180  0.360  0.250

Output
The raw total energy comes out at -5.328 eV/atom. Its space group is Cmcm, No. 63. The theoretical density is 4.698 Mg/m³. The calculation puts the total magnetic moment at 0.00 μB per formula unit. As for the density of states at the Fermi level: 4.376 states/eV/f.u. For the uncorrected formation energy, the calculation gives -10.30 eV/f.u.


[5]
DFT (GGA-PBE) results for an optimized crystal structure of UInS.

a = 3.351 Å, b = 3.351 Å, c = 6.937 Å
α = 90.00°, β = 90.00°, γ = 120.00°
Sites, in units of the cell vectors:
U  0.667  0.333  0.373
S  0.333  0.667  0.648
In  0.000  0.000  0.978

Output
The raw total energy comes out at -6.368 eV/atom. Its space group is P3m1, No. 156. The value obtained for the excess energy over the best structure of this formula in the dataset is 363 meV per atom. The theoretical density is 9.473 Mg/m³. The calculation puts the total magnetic moment at 2.33 μB per formula unit. As for the density of states at the Fermi level: 4.786 states/eV/f.u. For the uncorrected formation energy, the calculation gives -0.95 eV/f.u.


[6]
DFT (GGA-PBE) results for an optimized crystal structure of U3In2S8.

a = 6.941 Å, b = 7.588 Å, c = 7.588 Å
α = 64.70°, β = 89.28°, γ = 89.28°
Sites, in units of the cell vectors:
In  0.519  0.287  0.287
In  0.481  0.713  0.713
S  0.673  0.342  0.871
S  0.673  0.871  0.342
S  0.127  0.613  0.613
S  0.162  0.104  0.104
S  0.327  0.658  0.129
S  0.327  0.129  0.658
S  0.873  0.387  0.387
S  0.838  0.896  0.896
U  0.000  0.254  0.746
U  0.500  0.000  0.000
U  0.000  0.746  0.254

Output
The raw total energy comes out at -6.603 eV/atom. Its space group is C2/m, No. 12. The theoretical density is 5.516 Mg/m³. The calculation puts the total magnetic moment at 3.97 μB per formula unit. As for the density of states at the Fermi level: 16.590 states/eV/f.u. For the uncorrected formation energy, the calculation gives -13.47 eV/f.u.